VASP calculation (PBE+U) on a relaxed NaWN2O crystal.

The calculation puts the spin magnetization at 0.4 Bohr magnetons per cell. The value obtained for the total energy is -6.53 eV/atom. Its density of states at the Fermi level is 2.66 states/eV per cell.

Cell lengths 3.9836, 3.9836, 3.9833 Å; angles 90.00, 90.00, 90.00 degrees
Space group P4/mmm (No. 123)
One atom of each set of equivalent atoms:
Na 0.0000 0.0000 0.0000 (multiplicity 1)
W 0.5000 0.5000 0.5000 (multiplicity 1)
N 0.0000 0.5000 0.5000 (multiplicity 2)
O 0.5000 0.5000 0.0000 (multiplicity 1)